1.
Material: Nb2CrHgH
Method: DFT, GGA-PBE
State: relaxed

Values from the calculation:
Total moment   1.519 μB per formula unit
Total energy   -6.54 eV per atom

POSCAR file:
```
Nb2CrHgH
1.0
4.0998 0.0000 0.0000
0.0000 4.0998 0.0000
0.0000 0.0000 4.2327
Nb Cr Hg H
2 1 1 1
Direct
0.0000 0.5000 0.0000
0.5000 0.0000 0.0000
0.0000 0.0000 0.5000
0.5000 0.5000 0.5000
0.0000 0.0000 0.0000
```

***

2.
Material: Ba3Tb3DySe8
Method: DFT, GGA-PBE
State: relaxed

Values from the calculation:
Energy relative to the elements, uncorrected   -1931 meV per atom
Total moment   0.000 μB per formula unit
Total energy   -5.41 eV per atom

POSCAR file:
```
Ba3Tb3DySe8
1.0
4.2273 2.4406 7.5348
-4.2273 2.4406 7.5348
0.0000 -4.8813 7.5348
Ba Tb Dy Se
3 3 1 8
Direct
0.0000 0.5000 0.5000
0.5000 0.0000 0.5000
0.5000 0.5000 0.0000
0.0000 0.0000 0.5000
0.0000 0.5000 0.0000
0.5000 0.0000 0.0000
0.5000 0.5000 0.5000
0.2366 0.7373 0.7373
0.2381 0.2381 0.2381
0.2627 0.2627 0.7634
0.2627 0.7634 0.2627
0.7373 0.2366 0.7373
0.7373 0.7373 0.2366
0.7619 0.7619 0.7619
0.7634 0.2627 0.2627
```

***

3.
Material: TlTeP2
Method: DFT, GGA-PBE
State: relaxed

Values from the calculation:
Energy relative to the elements, uncorrected   163 meV per atom
Total moment   0.000 μB per formula unit
Total energy   -3.92 eV per atom
Relative energy among the computed polymorphs   137 meV/atom

POSCAR file:
```
TlTeP2
1.0
3.2378 0.0000 0.0000
0.0000 3.3753 0.0000
0.0000 0.0000 9.1203
Tl Te P
1 1 2
Direct
0.0000 0.0000 0.0000
0.5000 0.5000 0.6706
0.0000 0.0000 0.3307
0.5000 0.5000 0.3829
```

***

4.
Material: Ac2Pd3PbAu12
Method: DFT, GGA-PBE
State: relaxed

Values from the calculation:
Total moment   0.000 μB per formula unit
Total energy   -3.71 eV per atom
Energy of formation from the pure elements   0.005 eV per atom

POSCAR file:
```
Ac2Pd3PbAu12
1.0
4.3950 2.5375 6.9563
-4.3950 2.5375 6.9563
0.0000 -5.0749 6.9563
Ac Pd Pb Au
2 3 1 12
Direct
0.1121 0.1121 0.1121
0.8879 0.8879 0.8879
0.0000 0.5000 0.5000
0.5000 0.0000 0.5000
0.5000 0.5000 0.0000
0.5000 0.5000 0.5000
0.1001 0.6394 0.6394
0.1323 0.1323 0.6315
0.1323 0.6315 0.1323
0.3606 0.3606 0.8999
0.3606 0.8999 0.3606
0.3685 0.8677 0.8677
0.6315 0.1323 0.1323
0.6394 0.1000 0.6394
0.6394 0.6394 0.1001
0.8677 0.3685 0.8677
0.8677 0.8677 0.3685
0.8999 0.3606 0.3606
```

***

5.
Material: PAu2
Method: DFT, GGA-PBE
State: relaxed

Values from the calculation:
Total moment   0.000 μB per formula unit
Total energy   -3.59 eV per atom
Energy of formation from the pure elements   0.393 eV per atom

POSCAR file:
```
PAu2
1.0
-3.4188 3.4188 2.2855
3.4188 -3.4188 2.2855
3.4188 3.4188 -2.2855
P Au
2 4
Direct
0.2500 0.2500 0.0000
0.7500 0.7500 0.0000
0.1476 0.6476 0.7952
0.3524 0.1476 0.5000
0.6476 0.8524 0.5000
0.8524 0.3524 0.2048
```

***

6.
Material: Ce5SiCl5
Method: DFT, GGA-PBE
State: relaxed

Values from the calculation:
Energy relative to the elements, uncorrected   -1461 meV per atom
Total moment   5.165 μB per formula unit
Total energy   -5.49 eV per atom

POSCAR file:
```
Ce5SiCl5
1.0
6.3622 -2.8629 0.0000
6.3622 2.8629 0.0000
-2.5188 0.0000 7.6896
Ce Si Cl
5 1 5
Direct
0.0000 0.0000 0.0000
0.3259 0.3259 0.1573
0.3344 0.3344 0.6709
0.6656 0.6656 0.3291
0.6741 0.6741 0.8427
0.5000 0.5000 0.0000
0.1529 0.1529 0.3438
0.1568 0.1568 0.8133
0.5000 0.5000 0.5000
0.8432 0.8432 0.1867
0.8471 0.8471 0.6562
```

***

Which formula does entry 1 have?
Nb2CrHgH

***

Which value of total moment does entry 1 give?
1.519 μB per formula unit

***

Number 5 is which compound?
PAu2